(1)
AlTeIr2: optimized geometry, PBE.

Properties
* symmetry: P4mm
* energy above the most stable polymorph in this dataset: 0.2474 eV/atom
* Fermi-level density of states: 0.795 states/eV/atom
* uncorrected energy: -0.2220 Ha/atom
* spin magnetization: 0.0 μB/f.u.
* ΔE_f (raw): 110 meV/atom

Lattice parameters (Å, degrees): 2.9879 2.9879 7.9076 90.00 90.00 89.99
Sites, in units of the cell vectors:
1 Te 0.0000 0.0000 0.4683
2 Ir 0.5000 0.5000 0.2342
3 Ir 0.0000 0.0000 0.9886
4 Al 0.5000 0.5000 0.8090

***

(2)
AlTe3Ir: optimized geometry, PBE.

Properties
* symmetry: Pm-3m
* energy above the most stable polymorph in this dataset: 0.0000 eV/atom
* Fermi-level density of states: 1.632 states/eV/atom
* uncorrected energy: -0.1413 Ha/atom
* spin magnetization: 0.0 μB/f.u.
* ΔE_f (raw): 561 meV/atom

Lattice parameters (Å, degrees): 5.2988 5.2988 5.2988 90.00 90.00 90.00
Sites, in units of the cell vectors:
1 Te 0.0000 0.5000 0.0000
2 Te 0.5000 0.0000 0.0000
3 Al 0.5000 0.5000 0.5000
4 Te 0.0000 0.0000 0.5000
5 Ir 0.0000 0.0000 0.0000

***

(3)
AlTeIr2: optimized geometry, PBE.

Properties
* symmetry: Cm
* energy above the most stable polymorph in this dataset: 0.0606 eV/atom
* Fermi-level density of states: 0.366 states/eV/atom
* uncorrected energy: -0.2289 Ha/atom
* spin magnetization: 0.0 μB/f.u.
* ΔE_f (raw): -77 meV/atom

Lattice parameters (Å, degrees): 4.4942 4.4942 4.8784 74.80 74.80 48.99
Sites, in units of the cell vectors:
1 Ir 0.7461 0.7461 0.7540
2 Te 0.4907 0.4907 0.5179
3 Al 0.2821 0.2821 0.0945
4 Ir 0.9810 0.9810 0.1335

***

(4)
AlTeIr2: optimized geometry, PBE.

Properties
* symmetry: P4/mmm
* energy above the most stable polymorph in this dataset: 0.0000 eV/atom
* Fermi-level density of states: 0.634 states/eV/atom
* uncorrected energy: -0.2311 Ha/atom
* spin magnetization: 0.0 μB/f.u.
* ΔE_f (raw): -137 meV/atom

Lattice parameters (Å, degrees): 3.0455 3.0455 7.0803 90.00 90.00 90.00
Sites, in units of the cell vectors:
1 Ir 0.0000 0.0000 0.5401
2 Ir 0.0000 0.0000 0.9599
3 Al 0.5000 0.5000 0.7500
4 Te 0.5000 0.5000 0.2500

***

(5)
AlTeIr2: optimized geometry, PBE.

Properties
* symmetry: R-3m
* energy above the most stable polymorph in this dataset: 0.0911 eV/atom
* Fermi-level density of states: 0.148 states/eV/atom
* uncorrected energy: -0.2278 Ha/atom
* spin magnetization: 0.0 μB/f.u.
* ΔE_f (raw): -46 meV/atom

Lattice parameters (Å, degrees): 8.6643 8.6643 8.6643 20.04 20.04 20.04
Sites, in units of the cell vectors:
1 Te 0.2500 0.2500 0.2500
2 Al 0.7500 0.7500 0.7500
3 Ir 0.4924 0.4924 0.4924
4 Ir 0.0076 0.0076 0.0076

***

(6)
AlTeIr2: optimized geometry, PBE.

Properties
* symmetry: Cmmm
* energy above the most stable polymorph in this dataset: 0.1547 eV/atom
* Fermi-level density of states: 0.326 states/eV/atom
* uncorrected energy: -0.2254 Ha/atom
* spin magnetization: 0.0 μB/f.u.
* ΔE_f (raw): 17 meV/atom

Lattice parameters (Å, degrees): 4.6996 4.6996 3.0616 90.00 90.00 101.07
Sites, in units of the cell vectors:
1 Al 0.0000 0.5000 0.5000
2 Te 0.5000 0.0000 0.5000
3 Ir 0.5000 0.5000 0.0000
4 Ir 0.0000 0.0000 0.0000

***

(7)
Al3TeIr: optimized geometry, PBE.

Properties
* symmetry: Pm-3m
* energy above the most stable polymorph in this dataset: 0.0000 eV/atom
* Fermi-level density of states: 0.508 states/eV/atom
* uncorrected energy: -0.1785 Ha/atom
* spin magnetization: 0.0 μB/f.u.
* ΔE_f (raw): -211 meV/atom

Lattice parameters (Å, degrees): 4.8264 4.8264 4.8264 90.00 90.00 90.00
Sites, in units of the cell vectors:
1 Al 0.5000 0.0000 0.0000
2 Ir 0.0000 0.0000 0.0000
3 Al 0.0000 0.0000 0.5000
4 Al 0.0000 0.5000 0.0000
5 Te 0.5000 0.5000 0.5000

***

(8)
AlTeIr2: optimized geometry, PBE.

Properties
* symmetry: Immm
* energy above the most stable polymorph in this dataset: 0.3384 eV/atom
* Fermi-level density of states: 0.845 states/eV/atom
* uncorrected energy: -0.2187 Ha/atom
* spin magnetization: 0.0 μB/f.u.
* ΔE_f (raw): 201 meV/atom

Lattice parameters (Å, degrees): 5.4251 5.4251 5.4251 148.38 124.72 65.10
Sites, in units of the cell vectors:
1 Al 0.2500 0.7500 0.5000
2 Te 0.7500 0.2500 0.5000
3 Ir 0.4758 0.4758 0.0000
4 Ir 0.0242 0.0242 0.0000

***

(9)
AlTeIr2: optimized geometry, PBE.

Properties
* symmetry: I-4m2
* energy above the most stable polymorph in this dataset: 0.2566 eV/atom
* Fermi-level density of states: 0.713 states/eV/atom
* uncorrected energy: -0.2217 Ha/atom
* spin magnetization: 0.0 μB/f.u.
* ΔE_f (raw): 119 meV/atom

Lattice parameters (Å, degrees): 5.2566 5.2566 5.2566 137.14 137.14 62.23
Sites, in units of the cell vectors:
1 Te 0.5000 0.5000 0.0000
2 Al 0.7500 0.2500 0.5000
3 Ir 0.2500 0.7500 0.5000
4 Ir 0.0000 0.0000 0.0000

***

(10)
AlTeIr2: optimized geometry, PBE.

Properties
* symmetry: Fm-3m
* energy above the most stable polymorph in this dataset: 0.2400 eV/atom
* Fermi-level density of states: 0.974 states/eV/atom
* uncorrected energy: -0.2223 Ha/atom
* spin magnetization: 0.0 μB/f.u.
* ΔE_f (raw): 103 meV/atom

Lattice parameters (Å, degrees): 4.5470 4.5470 4.5470 60.00 60.00 60.00
Sites, in units of the cell vectors:
1 Te 0.5000 0.5000 0.5000
2 Ir 0.2500 0.2500 0.2500
3 Al 0.0000 0.0000 0.0000
4 Ir 0.7500 0.7500 0.7500

***

(11)
AlTe3Ir: optimized geometry, PBE.

Properties
* symmetry: Pm-3m
* energy above the most stable polymorph in this dataset: 0.5336 eV/atom
* Fermi-level density of states: 1.249 states/eV/atom
* uncorrected energy: -0.1217 Ha/atom
* spin magnetization: 0.0 μB/f.u.
* ΔE_f (raw): 1095 meV/atom

Lattice parameters (Å, degrees): 5.1243 5.1243 5.1243 90.00 90.00 90.00
Sites, in units of the cell vectors:
1 Te 0.0000 0.5000 0.0000
2 Ir 0.5000 0.5000 0.5000
3 Te 0.5000 0.0000 0.0000
4 Al 0.0000 0.0000 0.0000
5 Te 0.0000 0.0000 0.5000

***

(12)
AlTeIr2: optimized geometry, PBE.

Properties
* symmetry: Imm2
* energy above the most stable polymorph in this dataset: 0.2425 eV/atom
* Fermi-level density of states: 0.630 states/eV/atom
* uncorrected energy: -0.2222 Ha/atom
* spin magnetization: 0.0 μB/f.u.
* ΔE_f (raw): 105 meV/atom

Lattice parameters (Å, degrees): 5.5974 5.5974 5.5974 148.14 132.19 58.60
Sites, in units of the cell vectors:
1 Al 0.2330 0.7330 0.5000
2 Te 0.5093 0.5093 0.0000
3 Ir 0.0155 0.0155 0.0000
4 Ir 0.7422 0.2422 0.5000